Entry 1:
Pm4SmZn: relaxed, GGA-PBE.

Computed properties:
E_form = -0.097 eV/atom
energy = -0.3133 Ry per atom
N(E_F) = 7.3 states/eV/cell
M_tot = 0.0000 μB/atom
polymorph energy (0 for the lowest one) = 0.000 eV per atom

Structure (CIF):
```
data_Pm4SmZn
_chemical_formula_sum 'Pm4 Sm1 Zn1'
_cell_length_a 3.653
_cell_length_b 3.653
_cell_length_c 13.964
_cell_angle_alpha 90.00
_cell_angle_beta 90.00
_cell_angle_gamma 90.00
_space_group_name_H-M_alt 'P 4/m m m'
_space_group_IT_number 123
_space_group_name_Hall '-P 4 2'
loop_
_atom_site_label
_atom_site_fract_x
_atom_site_fract_y
_atom_site_fract_z
Pm1 0.000 0.000 0.130
Pm2 0.500 0.500 0.317
Sm1 0.000 0.000 0.500
Zn1 0.500 0.500 0.000
```

Entry 2:
Pm3SmZn2: relaxed, GGA-PBE.

Computed properties:
E_form = -0.211 eV/atom
energy = -0.2791 Ry per atom
N(E_F) = 5.8 states/eV/cell
M_tot = 0.0001 μB/atom

Structure (CIF):
```
data_Pm3SmZn2
_chemical_formula_sum 'Pm3 Sm1 Zn2'
_cell_length_a 3.663
_cell_length_b 3.663
_cell_length_c 12.413
_cell_angle_alpha 90.00
_cell_angle_beta 90.00
_cell_angle_gamma 90.00
_space_group_name_H-M_alt 'P 4/m m m'
_space_group_IT_number 123
_space_group_name_Hall '-P 4 2'
loop_
_atom_site_label
_atom_site_fract_x
_atom_site_fract_y
_atom_site_fract_z
Pm1 0.000 0.000 0.000
Pm2 0.000 0.000 0.291
Sm1 0.500 0.500 0.500
Zn1 0.500 0.500 0.146
```

Entry 3:
PmSm3Zn4: relaxed, GGA-PBE.

Computed properties:
E_form = -0.318 eV/atom
energy = -0.2439 Ry per atom
N(E_F) = 8.9 states/eV/cell
M_tot = 0.0002 μB/atom

Structure (CIF):
```
data_PmSm3Zn4
_chemical_formula_sum 'Pm1 Sm3 Zn4'
_cell_length_a 5.142
_cell_length_b 5.142
_cell_length_c 7.317
_cell_angle_alpha 90.00
_cell_angle_beta 90.00
_cell_angle_gamma 90.00
_space_group_name_H-M_alt 'P 4/m m m'
_space_group_IT_number 123
_space_group_name_Hall '-P 4 2'
loop_
_atom_site_label
_atom_site_fract_x
_atom_site_fract_y
_atom_site_fract_z
Pm1 0.000 0.000 0.000
Sm1 0.000 0.000 0.500
Sm2 0.500 0.500 0.000
Sm3 0.500 0.500 0.500
Zn1 0.000 0.500 0.251
```

Entry 4:
PmSm5Zn6: relaxed, GGA-PBE.

Computed properties:
E_form = -0.318 eV/atom
energy = -0.2438 Ry per atom
N(E_F) = 27.3 states/eV/cell
M_tot = 0.0002 μB/atom

Structure (CIF):
```
data_PmSm5Zn6
_chemical_formula_sum 'Pm2 Sm10 Zn12'
_cell_length_a 5.143
_cell_length_b 15.447
_cell_length_c 7.300
_cell_angle_alpha 90.00
_cell_angle_beta 90.00
_cell_angle_gamma 90.00
_space_group_name_H-M_alt 'C m m m'
_space_group_IT_number 65
_space_group_name_Hall '-C 2 2'
loop_
_atom_site_label
_atom_site_fract_x
_atom_site_fract_y
_atom_site_fract_z
Pm1 0.000 0.000 0.000
Sm1 0.000 0.000 0.500
Sm2 0.000 0.333 0.000
Sm3 0.000 0.334 0.500
Zn1 0.000 0.167 0.251
Zn2 0.000 0.500 0.251
```

Entry 5:
Pm7SmZn4: relaxed, GGA-PBE.

Computed properties:
E_form = -0.015 eV/atom
energy = -0.2649 Ry per atom
N(E_F) = 29.9 states/eV/cell
M_tot = 0.0251 μB/atom

Structure (CIF):
```
data_Pm7SmZn4
_chemical_formula_sum 'Pm14 Sm2 Zn8'
_cell_length_a 14.185
_cell_length_b 5.666
_cell_length_c 10.010
_cell_angle_alpha 90.00
_cell_angle_beta 123.10
_cell_angle_gamma 90.00
_space_group_name_H-M_alt 'C 1 2/m 1'
_space_group_IT_number 12
loop_
_space_group_symop_operation_xyz
'x,y,z'
'-x,-y,-z'
'-x,y,-z'
'x,-y,z'
'x+1/2,y+1/2,z'
'-x+1/2,-y+1/2,-z'
'-x+1/2,y+1/2,-z'
'x+1/2,-y+1/2,z'
loop_
_atom_site_label
_atom_site_fract_x
_atom_site_fract_y
_atom_site_fract_z
Pm1 0.000 0.000 0.000
Pm2 0.069 0.500 0.401
Pm3 0.206 0.500 0.879
Pm4 0.220 0.000 0.667
Sm1 0.000 0.500 0.000
Zn1 0.042 0.000 0.738
Zn2 0.178 0.000 0.338
```

Entry 6:
PmSm2Zn: relaxed, GGA-PBE.

Computed properties:
E_form = -0.039 eV/atom
energy = -0.2870 Ry per atom
N(E_F) = 13.2 states/eV/cell
M_tot = 0.0000 μB/atom
polymorph energy (0 for the lowest one) = 0.115 eV per atom

Structure (CIF):
```
data_PmSm2Zn
_chemical_formula_sum 'Pm3 Sm6 Zn3'
_cell_length_a 3.6682
_cell_length_b 3.6682
_cell_length_c 31.4443
_cell_angle_alpha 90.00
_cell_angle_beta 90.00
_cell_angle_gamma 120.00
_space_group_name_H-M_alt 'R 3 m'
_space_group_IT_number 160
_space_group_name_Hall 'R 3 -2"'
loop_
_atom_site_label
_atom_site_fract_x
_atom_site_fract_y
_atom_site_fract_z
Pm1 0.0000 0.0000 0.0000
Sm1 0.0000 0.0000 0.2380
Sm2 0.0000 0.0000 0.4291
Zn1 0.0000 0.0000 0.8338
```